[1]
First-principles (PBE) data for crystalline CuHg2Br at its relaxed geometry, as listed in the Alexandria database.

As for the total magnetic moment: 0.0 μB/f.u. The density of states at the Fermi level is 1.7 states/eV/cell. The formation energy (no corrections) comes out at 0.15 eV per atom. The calculation puts the total energy at -11.6 eV for the cell shown.

The space group is I4/mmm (No. 139) and the conventional cell measures 4.0255, 4.0255 and 12.7468 Å, with angles of 90.00, 90.00 and 90.00 degrees. The distinct sites, in fractional coordinates, are Cu at (0.0000, 0.0000, 0.0000), Hg at (0.0000, 0.5000, 0.2500) and Br at (0.0000, 0.0000, 0.5000).

[2]
First-principles (PBE) data for crystalline PuScCoTc at its relaxed geometry, as listed in the Alexandria database.

As for the total magnetic moment: 3.6 μB/f.u. The density of states at the Fermi level is 22.0 states/eV/cell. The formation energy is -0.135 eV per atom. The calculation puts the total energy at -154.7 eV for the cell shown.

The space group is F-43m (No. 216) and the conventional cell measures 6.5050, 6.5050 and 6.5050 Å, with angles of 90.00, 90.00 and 90.00 degrees. The distinct sites, in fractional coordinates, are Pu at (0.0000, 0.0000, 0.0000), Sc at (0.0000, 0.0000, 0.5000), Co at (0.2500, 0.2500, 0.7500) and Tc at (0.2500, 0.2500, 0.2500).

[3]
First-principles (PBE) data for crystalline Dy6Sn2BiSe3 at its relaxed geometry, as listed in the Alexandria database.

As for the total magnetic moment: 0.0 μB/f.u. The density of states at the Fermi level is 5.4 states/eV/cell. The formation energy (no corrections) comes out at -1.25 eV per atom. The calculation puts the total energy at -129.8 eV for the cell shown.

The space group is C2/m (No. 12) and the conventional cell measures 18.5563, 4.2693 and 8.5281 Å, with angles of 90.00, 102.85 and 90.00 degrees. The distinct sites, in fractional coordinates, are Dy at (0.9997, 0.0000, 0.2386), Dy at (0.1656, 0.5000, 0.0870), Dy at (0.1710, 0.5000, 0.5841), Sn at (0.1669, 0.0000, 0.8339), Bi at (0.0000, 0.5000, 0.5000), Se at (0.0000, 0.5000, 0.0000) and Se at (0.1651, 0.0000, 0.3338).